# 1
Compound: CuTc
Source: Alexandria
Functional: GGA-PBE
Structure: relaxed

```
12
Lattice="9.9215 0.0000 0.0000 0.0000 2.8146 0.0000 -1.5742 0.0000 5.7983" Properties=species:S:1:pos:R:3 pbc="T T T"
Cu 0.0000 0.0000 0.0000
Cu -0.4590 0.0000 3.3610
Cu 0.9666 1.4073 1.8952
Cu 4.9608 1.4073 0.0000
Cu 4.5018 1.4073 3.3610
Cu 5.9274 0.0000 1.8952
Tc 0.7044 1.4073 5.2597
Tc 2.3196 0.0000 3.8326
Tc 3.1559 0.0000 1.4486
Tc 5.6652 0.0000 5.2597
Tc 7.2803 1.4073 3.8326
Tc 8.1167 1.4073 1.4486
```

E_tot (eV for the cell shown): -83.9
Energy relative to the lowest polymorph listed for this composition (meV/atom): 143
DFT formation energy (eV/f.u.): 0.5
Space group: Cm

---

# 2
Compound: Ag2OsBr
Source: Alexandria
Functional: GGA-PBE
Structure: relaxed

```
16
Lattice="6.6700 0.0000 0.0000 0.0000 6.6700 0.0000 0.0000 0.0000 6.6700" Properties=species:S:1:pos:R:3 pbc="T T T"
Ag 0.0000 0.0000 0.0000
Ag 0.0000 3.3350 3.3350
Ag 1.6675 1.6675 1.6675
Ag 1.6675 5.0025 5.0025
Ag 3.3350 0.0000 3.3350
Ag 3.3350 3.3350 0.0000
Ag 5.0025 1.6675 5.0025
Ag 5.0025 5.0025 1.6675
Os 1.6675 1.6675 5.0025
Os 1.6675 5.0025 1.6675
Os 5.0025 1.6675 1.6675
Os 5.0025 5.0025 5.0025
Br 0.0000 0.0000 3.3350
Br 0.0000 3.3350 0.0000
Br 3.3350 0.0000 0.0000
Br 3.3350 3.3350 3.3350
```

Uncorrected formation energy (eV per atom): 1.16
E_tot (eV for the cell shown): -55.8
Energy relative to the lowest polymorph listed for this composition (meV/atom): 498
Space group: F-43m